Entry P
Below is an optimized crystal structure of ReSiTe2I, with properties calculated at the PBE level.

Results
Total magnetization: 0.179 μB per atom

The structure in CIF format:
```
data_ReSiTe2I
_cell_length_a 5.146
_cell_length_b 5.146
_cell_length_c 5.693
_cell_angle_alpha 90.00
_cell_angle_beta 90.00
_cell_angle_gamma 90.00
_symmetry_space_group_name_H-M 'P 4/m m m'
_symmetry_Int_Tables_number 123
_symmetry_space_group_name_Hall '-P 4 2'
loop_
_atom_site_label
_atom_site_fract_x
_atom_site_fract_y
_atom_site_fract_z
Re1 0.000 0.000 0.000
Si1 0.500 0.500 0.500
Te1 0.000 0.500 0.000
I1 0.000 0.000 0.500
```

Entry Q
Below is an optimized crystal structure of ReSiTe2I, with properties calculated at the PBE level.

Results
Total magnetization: 1.014 μB per atom

The structure in CIF format:
```
data_ReSiTe2I
_cell_length_a 5.303
_cell_length_b 5.303
_cell_length_c 5.418
_cell_angle_alpha 90.00
_cell_angle_beta 90.00
_cell_angle_gamma 90.00
_symmetry_space_group_name_H-M 'P 4/m m m'
_symmetry_Int_Tables_number 123
_symmetry_space_group_name_Hall '-P 4 2'
loop_
_atom_site_label
_atom_site_fract_x
_atom_site_fract_y
_atom_site_fract_z
Re1 0.000 0.000 0.000
Si1 0.500 0.500 0.500
Te1 0.000 0.500 0.500
I1 0.500 0.500 0.000
```

entry P takes first place; second place is 391 meV per atom up.

Entry P
Below is an optimized crystal structure of ReSnTeI2, with properties calculated at the PBE level.

Results
Total magnetization: 0.109 μB per atom

The structure in CIF format:
```
data_ReSnTeI2
_cell_length_a 5.560
_cell_length_b 5.560
_cell_length_c 5.125
_cell_angle_alpha 90.00
_cell_angle_beta 90.00
_cell_angle_gamma 90.00
_symmetry_space_group_name_H-M 'P 4/m m m'
_symmetry_Int_Tables_number 123
_symmetry_space_group_name_Hall '-P 4 2'
loop_
_atom_site_label
_atom_site_fract_x
_atom_site_fract_y
_atom_site_fract_z
Re1 0.000 0.000 0.000
Sn1 0.500 0.500 0.500
Te1 0.000 0.000 0.500
I1 0.000 0.500 0.000
```

Entry Q
Below is an optimized crystal structure of ReSnTeI2, with properties calculated at the PBE level.

Results
Total magnetization: 1.113 μB per atom

The structure in CIF format:
```
data_ReSnTeI2
_cell_length_a 5.955
_cell_length_b 5.955
_cell_length_c 5.853
_cell_angle_alpha 90.00
_cell_angle_beta 90.00
_cell_angle_gamma 90.00
_symmetry_space_group_name_H-M 'P 4/m m m'
_symmetry_Int_Tables_number 123
_symmetry_space_group_name_Hall '-P 4 2'
loop_
_atom_site_label
_atom_site_fract_x
_atom_site_fract_y
_atom_site_fract_z
Re1 0.000 0.000 0.000
Sn1 0.500 0.500 0.500
Te1 0.500 0.500 0.000
I1 0.000 0.500 0.500
```

entry P takes first place; second place is 605 meV per atom up.

Entry P
Below is an optimized crystal structure of SrReI3, with properties calculated at the PBE level.

Results
Total magnetization: 1.200 μB per atom

The structure in CIF format:
```
data_SrReI3
_cell_length_a 6.352
_cell_length_b 6.352
_cell_length_c 6.352
_cell_angle_alpha 90.00
_cell_angle_beta 90.00
_cell_angle_gamma 90.00
_symmetry_space_group_name_H-M 'P m -3 m'
_symmetry_Int_Tables_number 221
_symmetry_space_group_name_Hall '-P 4 2 3'
loop_
_atom_site_label
_atom_site_fract_x
_atom_site_fract_y
_atom_site_fract_z
Sr1 0.000 0.000 0.000
Re1 0.500 0.500 0.500
I1 0.000 0.000 0.500
```

Entry Q
Below is an optimized crystal structure of SrReI3, with properties calculated at the PBE level.

Results
Total magnetization: 0.410 μB per atom

The structure in CIF format:
```
data_SrReI3
_cell_length_a 5.524
_cell_length_b 5.524
_cell_length_c 5.524
_cell_angle_alpha 90.00
_cell_angle_beta 90.00
_cell_angle_gamma 90.00
_symmetry_space_group_name_H-M 'P m -3 m'
_symmetry_Int_Tables_number 221
_symmetry_space_group_name_Hall '-P 4 2 3'
loop_
_atom_site_label
_atom_site_fract_x
_atom_site_fract_y
_atom_site_fract_z
Sr1 0.000 0.000 0.000
Re1 0.500 0.500 0.500
I1 0.000 0.500 0.500
```

entry Q takes first place; second place is 292 meV per atom up.

Entry P
Below is an optimized crystal structure of SrRe2I, with properties calculated at the PBE level.

Results
Total magnetization: 0.000 μB per atom

The structure in CIF format:
```
data_SrRe2I
_cell_length_a 6.849
_cell_length_b 6.849
_cell_length_c 6.849
_cell_angle_alpha 90.00
_cell_angle_beta 90.00
_cell_angle_gamma 90.00
_symmetry_space_group_name_H-M 'F m -3 m'
_symmetry_Int_Tables_number 225
_symmetry_space_group_name_Hall '-F 4 2 3'
loop_
_atom_site_label
_atom_site_fract_x
_atom_site_fract_y
_atom_site_fract_z
Sr1 0.000 0.000 0.000
Re1 0.250 0.250 0.250
I1 0.000 0.000 0.500
```

Entry Q
Below is an optimized crystal structure of SrRe2I, with properties calculated at the PBE level.

Results
Total magnetization: 0.000 μB per atom

The structure in CIF format:
```
data_SrRe2I
_cell_length_a 8.060
_cell_length_b 8.060
_cell_length_c 5.841
_cell_angle_alpha 90.00
_cell_angle_beta 90.00
_cell_angle_gamma 90.00
_symmetry_space_group_name_H-M 'I -4 2 d'
_symmetry_Int_Tables_number 122
_symmetry_space_group_name_Hall 'I -4 2bw'
loop_
_atom_site_label
_atom_site_fract_x
_atom_site_fract_y
_atom_site_fract_z
Sr1 0.000 0.000 0.000
Re1 0.183 0.250 0.625
I1 0.000 0.000 0.500
```

entry Q takes first place; second place is 83 meV per atom up.

Entry P
Below is an optimized crystal structure of Sr2ReI, with properties calculated at the PBE level.

Results
Total magnetization: 0.500 μB per atom

The structure in CIF format:
```
data_Sr2ReI
_cell_length_a 8.466
_cell_length_b 8.466
_cell_length_c 8.036
_cell_angle_alpha 90.00
_cell_angle_beta 90.00
_cell_angle_gamma 90.00
_symmetry_space_group_name_H-M 'I -4 2 d'
_symmetry_Int_Tables_number 122
_symmetry_space_group_name_Hall 'I -4 2bw'
loop_
_atom_site_label
_atom_site_fract_x
_atom_site_fract_y
_atom_site_fract_z
Sr1 0.221 0.250 0.125
Re1 0.000 0.000 0.000
I1 0.000 0.000 0.500
```

Entry Q
Below is an optimized crystal structure of Sr2ReI, with properties calculated at the PBE level.

Results
Total magnetization: 0.501 μB per atom

The structure in CIF format:
```
data_Sr2ReI
_cell_length_a 7.903
_cell_length_b 7.903
_cell_length_c 7.903
_cell_angle_alpha 90.00
_cell_angle_beta 90.00
_cell_angle_gamma 90.00
_symmetry_space_group_name_H-M 'F m -3 m'
_symmetry_Int_Tables_number 225
_symmetry_space_group_name_Hall '-F 4 2 3'
loop_
_atom_site_label
_atom_site_fract_x
_atom_site_fract_y
_atom_site_fract_z
Sr1 0.250 0.250 0.250
Re1 0.000 0.000 0.000
I1 0.000 0.000 0.500
```

entry Q takes first place; second place is 102 meV per atom up.

Entry P
Below is an optimized crystal structure of Sr2Re2I, with properties calculated at the PBE level.

Results
Total magnetization: 0.130 μB per atom

The structure in CIF format:
```
data_Sr2Re2I
_cell_length_a 9.305
_cell_length_b 9.305
_cell_length_c 3.574
_cell_angle_alpha 90.00
_cell_angle_beta 90.00
_cell_angle_gamma 90.00
_symmetry_space_group_name_H-M 'P 4/m b m'
_symmetry_Int_Tables_number 127
_symmetry_space_group_name_Hall '-P 4 2ab'
loop_
_atom_site_label
_atom_site_fract_x
_atom_site_fract_y
_atom_site_fract_z
Sr1 0.188 0.312 0.000
Re1 0.083 0.583 0.500
I1 0.000 0.000 0.000
```

Entry Q
Below is an optimized crystal structure of Sr2Re2I, with properties calculated at the PBE level.

Results
Total magnetization: 0.000 μB per atom

The structure in CIF format:
```
data_Sr2Re2I
_cell_length_a 3.722
_cell_length_b 3.722
_cell_length_c 19.987
_cell_angle_alpha 90.00
_cell_angle_beta 90.00
_cell_angle_gamma 90.00
_symmetry_space_group_name_H-M 'I 4/m m m'
_symmetry_Int_Tables_number 139
_symmetry_space_group_name_Hall '-I 4 2'
loop_
_atom_site_label
_atom_site_fract_x
_atom_site_fract_y
_atom_site_fract_z
Sr1 0.000 0.000 0.122
Re1 0.000 0.500 0.250
I1 0.000 0.000 0.500
```

entry Q takes first place; second place is 737 meV per atom up.